MnTlBr2 | PBE | relaxed

Geometry as POSCAR:
```
MnTlBr2
1.0
6.556 0.052 0.141
5.499 3.571 0.141
3.160 0.950 5.489
Mn Tl Br
1 1 2
Direct
0.448 0.448 0.732
0.177 0.177 0.260
0.025 0.025 0.904
0.850 0.850 0.604
```

Values from the calculation:
The raw total energy is -4.140 eV/atom. The formation energy without anion corrections is -0.420 eV per atom. The calculation puts the magnetic moment at 4.57 Bohr magnetons per cell. For the density of states at the Fermi level, the calculation gives 0.7 states/eV per cell. The energy above the most stable polymorph in this dataset comes out at 61 meV per atom. For the theoretical density, the calculation gives 5.56 g/cm³.

***

CaAlH2I | PBE | relaxed

Geometry as POSCAR:
```
CaAlH2I
1.0
4.355 0.000 0.000
0.000 6.290 0.000
0.000 0.000 4.355
Ca H I Al
1 2 1 1
Direct
0.500 0.500 0.500
0.500 0.000 0.000
0.000 0.000 0.500
0.000 0.000 0.000
0.000 0.500 0.000
```

Values from the calculation:
The raw total energy is -2.240 eV/atom. The calculation puts the magnetic moment at 0.00 Bohr magnetons per cell. For the density of states at the Fermi level, the calculation gives 0.0 states/eV per cell. For the theoretical density, the calculation gives 2.73 g/cm³.

***

SmEr2Pu | PBE | relaxed

Geometry as POSCAR:
```
SmEr2Pu
1.0
-2.019 -2.866 -0.376
1.399 -3.209 0.419
-2.751 -1.686 11.101
Pu Er Sm
1 2 1
Direct
0.666 0.666 0.002
0.081 0.081 0.756
0.252 0.252 0.244
0.501 0.501 0.498
```

Values from the calculation:
The raw total energy is -6.945 eV/atom. The calculation puts the magnetic moment at 6.01 Bohr magnetons per cell. For the density of states at the Fermi level, the calculation gives 11.2 states/eV per cell. The energy above the most stable polymorph in this dataset comes out at 3 meV per atom. For the theoretical density, the calculation gives 9.88 g/cm³.

***

CsRb2SrBe | PBE | relaxed

Geometry as POSCAR:
```
CsRb2SrBe
1.0
8.649 0.000 0.000
0.000 8.815 0.000
0.000 0.000 8.649
Rb Be Sr Cs
2 1 1 1
Direct
0.000 0.000 0.500
0.500 0.000 0.000
0.500 0.500 0.500
0.000 0.500 0.000
0.000 0.000 0.000
```

Values from the calculation:
The raw total energy is -0.485 eV/atom. The calculation puts the magnetic moment at 0.00 Bohr magnetons per cell. For the density of states at the Fermi level, the calculation gives 5.4 states/eV per cell. For the theoretical density, the calculation gives 1.01 g/cm³.

***

Which formula does entry 2 have? CaAlH2I